Here is crystalline Te2IrCl at its relaxed geometry from Alexandria via LeMat-Bulk. Energies are from PBE.

extended XYZ file:
```
4
Lattice="5.129 0.000 0.000 0.000 2.501 3.887 0.000 -2.501 3.887" Properties=species:S:1:pos:R:3 pbc="T T T"
Te 0.000 0.000 0.000
Te 2.564 0.000 1.997
Ir 2.564 0.000 6.998
Cl 0.000 0.000 4.428
```

Results
Relative energy among the computed polymorphs, meV per atom: 507
D(E_F), states/eV per atom: 0.5726
Formation energy from raw total energies, eV per atom: 0.17
ρ, g/cm³: 8.0

Here is crystalline LiCrAs at its relaxed geometry from Alexandria via LeMat-Bulk. Energies are from PBE.

extended XYZ file:
```
3
Lattice="3.326 0.000 0.000 0.000 3.821 0.000 0.000 0.000 4.535" Properties=species:S:1:pos:R:3 pbc="T T T"
Li 0.000 0.000 0.000
Cr 0.000 1.910 2.267
As 1.663 0.000 2.267
```

Results
D(E_F), states/eV per atom: 0.4600
ρ, g/cm³: 3.9
Formation energy from the elements, eV/atom: -0.03

Here is crystalline ZrHg5 at its relaxed geometry from Alexandria via LeMat-Bulk. Energies are from PBE.

extended XYZ file:
```
6
Lattice="6.730 -1.639 0.000 6.730 1.639 0.000 -1.570 0.000 6.341" Properties=species:S:1:pos:R:3 pbc="T T T"
Zr 0.000 0.000 0.000
Hg -0.785 0.000 3.171
Hg 3.398 0.000 4.304
Hg 4.336 0.000 1.052
Hg 7.554 0.000 5.289
Hg 8.492 0.000 2.037
```

Results
D(E_F), states/eV per atom: 0.5916
ρ, g/cm³: 13.0
Formation energy from the elements, eV/atom: 0.02

Here is crystalline Ce3BiOs at its relaxed geometry from Alexandria via LeMat-Bulk. Energies are from PBE.

extended XYZ file:
```
20
Lattice="8.379 0.000 0.000 0.000 4.493 0.000 0.000 0.000 15.013" Properties=species:S:1:pos:R:3 pbc="T T T"
Ce 0.198 1.123 1.508
Ce 1.120 1.123 7.597
Ce 1.558 3.370 4.265
Ce 2.632 1.123 11.771
Ce 3.069 3.370 0.091
Ce 3.992 3.370 9.014
Ce 4.387 1.123 5.999
Ce 5.310 1.123 14.922
Ce 5.747 3.370 3.242
Ce 6.822 1.123 10.748
Ce 7.259 3.370 7.415
Ce 8.181 3.370 13.505
Bi 0.786 3.370 10.196
Bi 3.404 1.123 2.689
Bi 4.975 3.370 12.324
Bi 7.594 1.123 4.817
Os 1.557 1.123 14.112
Os 2.633 3.370 6.605
Os 5.746 1.123 8.408
Os 6.823 3.370 0.901
```

Results
Relative energy among the computed polymorphs, meV per atom: 0
D(E_F), states/eV per atom: 2.9999
ρ, g/cm³: 9.6
Formation energy from the elements, eV/atom: -0.44